Compound: Cs2Nb3CrO12
Source: Alexandria
Functional: PBE with a Hubbard U
Structure: optimized geometry

Calculated values
As for the density: 4.54 g cm⁻³. Its space group is R-3m. As for the calculated total energy: -135.0 eV for the cell shown. The calculation puts the total magnetization at 1.14 Bohr magnetons per cell.

abc: 7.3362 7.3362 7.3362
angles: 61.51 61.51 61.51
Site moments in Bohr magnetons follow the coordinates.
Fractional coordinates of all 18 atoms:
Cs (0.6260, 0.6260, 0.6260)  0.00
Cs (0.3740, 0.3740, 0.3740)  0.00
Nb (0.5000, 0.0000, 0.0000)  -0.05
Nb (0.0000, 0.5000, 0.0000)  -0.05
Nb (0.0000, 0.0000, 0.5000)  -0.05
Cr (0.0000, 0.0000, 0.0000)  -0.40
O (0.3161, 0.3161, 0.9417)  0.09
O (0.9454, 0.9454, 0.2891)  0.14
O (0.2891, 0.9454, 0.9454)  0.14
O (0.9417, 0.3161, 0.3161)  0.09
O (0.9454, 0.2891, 0.9454)  0.14
O (0.3161, 0.9417, 0.3161)  0.09
O (0.6839, 0.6839, 0.0583)  0.09
O (0.0546, 0.0546, 0.7109)  0.14
O (0.7109, 0.0546, 0.0546)  0.14
O (0.0583, 0.6839, 0.6839)  0.09
O (0.0546, 0.7109, 0.0546)  0.14
O (0.6839, 0.0583, 0.6839)  0.09